No. 1
{"formula": "Ti2Ir9Rh", "functional": "PBE-GGA", "state": "optimized geometry", "lattice_angstrom": [[4.770, 0.000, 0.000], [-2.258, 6.071, 0.000], [-0.017, -3.402, 6.166]], "species": ["Ti", "Ti", "Ir", "Ir", "Ir", "Ir", "Ir", "Ir", "Ir", "Ir", "Ir", "Rh"], "frac_coords": [[0.163, 0.189, 0.423], [0.837, 0.811, 0.577], [0.077, 0.322, 0.817], [0.242, 0.666, 0.662], [0.341, 0.505, 0.246], [0.452, 0.830, 0.070], [0.500, 0.000, 0.500], [0.548, 0.170, 0.930], [0.659, 0.495, 0.754], [0.758, 0.334, 0.338], [0.923, 0.678, 0.183], [0.000, 0.000, 0.000]], "magmom_total_mub_per_fu": 0.00, "e_tot_ev_per_fu": -105.770, "e_form_ev_per_atom": -0.240}

=====

No. 2
{"formula": "PmDy3Er7", "functional": "PBE-GGA", "state": "optimized geometry", "lattice_angstrom": [[6.239, -5.560, 0.000], [6.239, 5.560, 0.000], [-2.640, 0.000, 5.105]], "species": ["Pm", "Dy", "Dy", "Dy", "Er", "Er", "Er", "Er", "Er", "Er", "Er"], "frac_coords": [[0.000, 0.000, 0.000], [0.293, 0.707, 0.500], [0.500, 0.500, 0.000], [0.707, 0.293, 0.500], [0.000, 0.000, 0.500], [0.098, 0.486, 0.792], [0.294, 0.294, 0.295], [0.486, 0.098, 0.792], [0.514, 0.902, 0.208], [0.706, 0.706, 0.705], [0.902, 0.514, 0.208]], "magmom_total_mub_per_fu": 0.01, "e_above_lowest_polymorph_ev_per_atom": 0.113, "e_tot_ev_per_fu": -47.559, "e_form_ev_per_atom": 0.267}

=====

No. 3
{"formula": "La2CdPb", "functional": "PBE-GGA", "state": "optimized geometry", "lattice_angstrom": [[5.301, 0.000, 0.000], [0.000, 5.301, 0.000], [0.000, 0.000, 4.427]], "species": ["La", "La", "Cd", "Pb"], "frac_coords": [[0.000, 0.500, 0.000], [0.500, 0.000, 0.000], [0.000, 0.000, 0.500], [0.500, 0.500, 0.500]], "magmom_total_mub_per_fu": 0.00, "e_tot_ev_per_fu": -16.413, "e_form_ev_per_atom": -0.484}

=====

No. 4
{"formula": "PmBP2O8", "functional": "PBE-GGA", "state": "optimized geometry", "lattice_angstrom": [[4.872, 0.000, 0.000], [-2.436, 4.219, 0.000], [0.000, 0.000, 6.327]], "species": ["Pm", "B", "P", "P", "O", "O", "O", "O", "O", "O", "O", "O"], "frac_coords": [[0.000, 0.000, 0.000], [0.000, 0.000, 0.500], [0.333, 0.667, 0.267], [0.667, 0.333, 0.733], [0.158, 0.316, 0.335], [0.158, 0.842, 0.335], [0.316, 0.158, 0.665], [0.333, 0.667, 0.022], [0.667, 0.333, 0.978], [0.684, 0.842, 0.335], [0.842, 0.158, 0.665], [0.842, 0.684, 0.665]], "magmom_total_mub_per_fu": 0.00, "e_form_raw_mev_per_atom": -2238, "e_tot_ev_per_fu": -88.770}

=====

No. 5
{"formula": "Tm2LuPt", "functional": "PBE-GGA", "state": "optimized geometry", "lattice_angstrom": [[1.875, 1.082, 9.286], [-1.875, 1.082, 9.286], [0.000, -2.165, 9.286]], "species": ["Tm", "Tm", "Lu", "Pt"], "frac_coords": [[0.229, 0.229, 0.229], [0.771, 0.771, 0.771], [0.000, 0.000, 0.000], [0.500, 0.500, 0.500]], "magmom_total_mub_per_fu": 0.00, "e_above_lowest_polymorph_ev_per_atom": 0.112, "e_tot_ev_per_fu": -21.497, "e_form_ev_per_atom": -0.498}

=====

No. 6
{"formula": "La2ReO6", "functional": "PBE-GGA", "state": "optimized geometry", "lattice_angstrom": [[5.645, 0.000, 0.000], [0.000, 6.229, 0.000], [-4.843, 0.000, 7.855]], "species": ["La", "La", "La", "La", "Re", "Re", "O", "O", "O", "O", "O", "O", "O", "O", "O", "O", "O", "O"], "frac_coords": [[0.214, 0.090, 0.244], [0.214, 0.410, 0.744], [0.786, 0.590, 0.256], [0.786, 0.910, 0.756], [0.500, 0.000, 0.000], [0.500, 0.500, 0.500], [0.155, 0.150, 0.947], [0.155, 0.350, 0.447], [0.299, 0.737, 0.926], [0.299, 0.763, 0.426], [0.410, 0.059, 0.768], [0.410, 0.441, 0.268], [0.590, 0.559, 0.732], [0.590, 0.941, 0.232], [0.701, 0.237, 0.574], [0.701, 0.263, 0.074], [0.845, 0.650, 0.553], [0.845, 0.850, 0.053]], "magmom_total_mub_per_fu": 1.02, "e_form_raw_mev_per_atom": -2660, "e_tot_ev_per_fu": -75.992}

=====

No. 7
{"formula": "TmGe2Os", "functional": "PBE-GGA", "state": "optimized geometry", "lattice_angstrom": [[4.140, 0.000, 0.000], [0.000, 6.716, 0.000], [0.000, 0.000, 5.293]], "species": ["Tm", "Tm", "Ge", "Ge", "Ge", "Ge", "Os", "Os"], "frac_coords": [[0.250, 0.250, 0.143], [0.750, 0.750, 0.857], [0.250, 0.027, 0.680], [0.250, 0.473, 0.680], [0.750, 0.527, 0.320], [0.750, 0.973, 0.320], [0.250, 0.750, 0.354], [0.750, 0.250, 0.646]], "magmom_total_mub_per_fu": 0.00, "e_tot_ev_per_fu": -26.557, "e_form_ev_per_atom": -0.405}

=====

No. 8
{"formula": "LiGaReW", "functional": "PBE-GGA", "state": "optimized geometry", "lattice_angstrom": [[0.000, 3.069, 3.069], [3.069, 0.000, 3.069], [3.069, 3.069, 0.000]], "species": ["Li", "Ga", "Re", "W"], "frac_coords": [[0.000, 0.000, 0.000], [0.750, 0.750, 0.750], [0.500, 0.500, 0.500], [0.250, 0.250, 0.250]], "magmom_total_mub_per_fu": 0.00, "e_tot_ev_per_fu": -30.274, "e_form_ev_per_atom": 0.017}

=====

What did the fifth record say?
{"formula": "Tm2LuPt", "functional": "PBE-GGA", "state": "optimized geometry", "lattice_angstrom": [[1.875, 1.082, 9.286], [-1.875, 1.082, 9.286], [0.000, -2.165, 9.286]], "species": ["Tm", "Tm", "Lu", "Pt"], "frac_coords": [[0.229, 0.229, 0.229], [0.771, 0.771, 0.771], [0.000, 0.000, 0.000], [0.500, 0.500, 0.500]], "magmom_total_mub_per_fu": 0.00, "e_above_lowest_polymorph_ev_per_atom": 0.112, "e_tot_ev_per_fu": -21.497, "e_form_ev_per_atom": -0.498}

=====

- Which formula does entry 5 have?
  Tm2LuPt